DFT (PBE+U) results for a relaxed V2Sn2O crystal.

Properties
VASP energy = -23.18 eV/cell
E above lowest polymorph = 0.962 eV/atom
crystal system = tetragonal
DOS(E_F) = 0.372 states/eV/atom
space group = No. 139

a b c (Å): 3.8980 3.8980 8.0018
angles (deg): 75.90 75.90 90.00
Positions (direct):
V: 0.5857 0.5857 0.8286
O: 0.0000 0.0000 0.0000
Sn: 0.7500 0.2500 0.5000
V: 0.4143 0.4143 0.1714
Sn: 0.2500 0.7500 0.5000